Entry 1:
YRePt (PBE-GGA, optimized geometry); energy relative to the elements = -0.10 eV/atom; space-group type = No. 107; E above lowest polymorph = 63 meV/atom; mass density = 14.08 g/cm3
1.0
-1.425 3.691 5.489
-0.084 1.345 6.631
2.449 1.575 0.361
Re Y Pt
1 1 1
Cartesian
1.070 2.781 4.458
-0.197 3.888 8.220
-1.443 4.978 11.922

Entry 2:
Mg2VI (PBE-GGA, optimized geometry); space-group type = No. 122; E above lowest polymorph = 0 meV/atom; mass density = 3.60 g/cm3; formation energy (no corrections) = 0.484 eV/atom
1.0
8.313 0.000 0.000
0.000 8.313 0.000
4.156 4.156 3.026
I Mg V
2 4 2
Cartesian
0.000 0.000 0.000
8.313 4.156 1.513
10.391 10.344 2.270
6.234 6.281 2.270
6.188 2.078 0.757
2.124 6.234 0.757
4.156 8.313 1.513
4.156 4.156 0.000